Entry from the Alexandria database: an optimized crystal structure of ScAgBr2 (GGA-PBE).

**Density of states at the Fermi level**: 5.50 states/eV/cell
**Relative energy among the computed polymorphs**: 441 meV/atom
**ΔE_f (raw)**: -1.717 eV per formula unit

Lattice parameters (Å, degrees): 7.0939 7.0939 7.0939 90.00 90.00 90.00
With the nearest neighbours (Å) after each atom.
Space group Fm-3m (No. 225)
Symmetry-distinct sites (fractional):
Sc 0.0000 0.0000 0.0000 x4  8 Br 3.07
Ag 0.0000 0.0000 0.5000 x4  8 Br 3.07
Br 0.2500 0.2500 0.2500 x8  4 Sc 3.07, 4 Ag 3.07

Entry from the Alexandria database: an optimized crystal structure of ScAgBr2 (GGA-PBE).

**Density of states at the Fermi level**: 9.83 states/eV/cell
**Relative energy among the computed polymorphs**: 445 meV/atom
**ΔE_f (raw)**: -1.697 eV per formula unit

Lattice parameters (Å, degrees): 3.8752 3.8752 26.2972 90.00 90.00 120.00
With the nearest neighbours (Å) after each atom.
Space group R-3m (No. 166, hexagonal axes)
Symmetry-distinct sites (fractional):
Sc 0.0000 0.0000 0.0000 x3  2 Br 2.61
Ag 0.0000 0.0000 0.5000 x3  6 Br 2.85
Br 0.0000 0.0000 0.0993 x6  1 Sc 2.61, 3 Ag 2.85